VASP calculation (PBE) on a relaxed Nd3ScSb4 crystal.

Summary:
space-group type: No. 65
total energy: -45.9 eV per cell
total moment: 0.00 μB per atom
formation energy (no corrections): -1.10 eV/atom
volume: 248.02 Å³/cell

Geometry as POSCAR:
```
Nd3ScSb4
1.0
4.4485 0.0000 0.0000
0.0000 7.6906 -0.0765
0.0000 -2.4972 7.2743
Nd Sc Sb
3 1 4
direct
0.0000 0.0000 0.5000
0.5000 0.5000 0.5000
0.0000 0.5000 0.0000
0.5000 0.0000 0.0000
0.0000 0.2345 0.2345
0.5000 0.7579 0.2421
0.0000 0.7655 0.7655
0.5000 0.2421 0.7579
```

=====

VASP calculation (PBE) on a relaxed P3SeCl crystal.

Summary:
space-group type: No. 221
total energy: -15.4 eV per cell
total moment: 0.00 μB per atom
formation energy (no corrections): 1.22 eV/atom
volume: 113.96 Å³/cell

Geometry as POSCAR:
```
P3SeCl
1.0
-1.1329 -4.6682 -0.6553
2.9843 -1.2319 3.6168
-3.6490 0.4418 3.1614
P Se Cl
3 1 1
direct
0.0000 0.5000 0.0000
0.0000 0.0000 0.5000
0.5000 0.0000 0.0000
0.0000 0.0000 0.0000
0.5000 0.5000 0.5000
```